Entry 1:
This record from Alexandria describes a relaxed TbPm2Er4Sc crystal. The functional is PBE.

Lattice parameters (Å, degrees): 4.986 4.987 11.097 63.30 90.00 90.00
Sites, in units of the cell vectors:
Sc: 0.000 0.500 0.500
Pm: 0.500 0.000 0.500
Pm: 0.000 0.000 0.000
Er: 0.500 0.745 0.255
Er: 0.000 0.755 0.745
Er: 0.000 0.245 0.255
Er: 0.500 0.255 0.745
Tb: 0.500 0.500 0.000

Computed properties:
The density of states at the Fermi level is 1.4655 states/eV/atom. The space-group type is P4/mmm (123). The formation energy is 26 kJ/mol of formula units.

---

Entry 2:
This record from Alexandria describes a relaxed Tb2PmErSc crystal. The functional is PBE.

Lattice parameters (Å, degrees): 7.092 8.190 6.958 126.05 90.00 90.00
Sites, in units of the cell vectors:
Tb: 0.000 0.302 0.000
Tb: 0.500 0.698 0.000
Tb: 0.500 0.302 0.000
Tb: 0.000 0.698 0.000
Er: 0.750 0.735 0.469
Er: 0.250 0.265 0.531
Sc: 0.750 0.006 0.012
Sc: 0.250 0.994 0.988
Pm: 0.250 0.730 0.459
Pm: 0.750 0.270 0.541

Computed properties:
The density of states at the Fermi level is 1.3335 states/eV/atom. The space-group type is Cmcm (63). The formation energy is 166 kJ/mol of formula units.

---

Entry 3:
This record from Alexandria describes a relaxed TbPm6Er3Sc2 crystal. The functional is PBE.

Lattice parameters (Å, degrees): 6.159 6.159 11.600 95.06 95.06 119.98
Sites, in units of the cell vectors:
Pm: 0.581 0.918 0.754
Pm: 0.254 0.254 0.754
Pm: 0.082 0.419 0.246
Pm: 0.419 0.082 0.246
Pm: 0.746 0.746 0.246
Pm: 0.918 0.581 0.754
Sc: 0.333 0.667 0.000
Sc: 0.667 0.333 0.000
Er: 0.833 0.167 0.500
Er: 0.500 0.500 0.500
Er: 0.167 0.833 0.500
Tb: 0.000 0.000 0.000

Computed properties:
The density of states at the Fermi level is 1.1261 states/eV/atom. The space-group type is C2/m (12). The formation energy is 39 kJ/mol of formula units.

---

Entry 4:
This record from Alexandria describes a relaxed Tb3PmEr6Sc2 crystal. The functional is PBE.

Lattice parameters (Å, degrees): 6.044 6.044 11.575 94.98 94.98 119.96
Sites, in units of the cell vectors:
Er: 0.254 0.254 0.754
Er: 0.418 0.083 0.246
Er: 0.083 0.418 0.246
Er: 0.582 0.917 0.754
Er: 0.917 0.582 0.754
Er: 0.746 0.746 0.246
Sc: 0.333 0.667 0.000
Sc: 0.667 0.333 0.000
Pm: 0.000 0.000 0.000
Tb: 0.167 0.833 0.500
Tb: 0.833 0.167 0.500
Tb: 0.500 0.500 0.500

Computed properties:
The density of states at the Fermi level is 1.3944 states/eV/atom. The space-group type is C2/m (12). The formation energy is 42 kJ/mol of formula units.